Entry 1:
First-principles (GGA-PBE) data for a relaxed LaTb2Cd9 crystal, as listed in the Alexandria database.

Output
E_form = -0.25 eV per atom
magnetic moment = 0.00 μB/cell
DFT total energy = -2.12 eV/atom

Cell lengths 5.987, 5.987, 10.143 Å; angles 72.84, 72.84, 60.00 degrees
Positions (direct):
La  0.000  0.000  0.000
Tb  0.858  0.858  0.427
Tb  0.142  0.142  0.573
Cd  0.665  0.665  0.006
Cd  0.335  0.335  0.994
Cd  0.500  0.500  0.500
Cd  0.410  0.410  0.257
Cd  0.923  0.410  0.257
Cd  0.410  0.923  0.257
Cd  0.590  0.590  0.743
Cd  0.590  0.077  0.743
Cd  0.077  0.590  0.743

=====

Entry 2:
First-principles (GGA-PBE) data for a relaxed LaAl2Co crystal, as listed in the Alexandria database.

Output
E_form = 0.20 eV per atom
magnetic moment = 0.63 μB/cell
DFT total energy = -4.68 eV/atom

Cell lengths 5.492, 5.736, 2.950 Å; angles 84.36, 70.62, 113.17 degrees
Each line ends with the local moment (μB).
Positions (direct):
Co  0.000  0.500  0.500  0.77
Al  0.000  0.000  0.000  0.00
Al  0.500  0.000  0.500  0.00
La  0.500  0.500  0.000  -0.08

=====

Entry 3:
First-principles (GGA-PBE) data for a relaxed Al11TlO17 crystal, as listed in the Alexandria database.

Output
magnetic moment = 0.00 μB/cell
DFT total energy = -7.31 eV/atom

Cell lengths 5.654, 5.653, 23.093 Å; angles 90.00, 90.00, 120.00 degrees
Positions (direct):
Al  0.335  0.167  0.395
Al  0.335  0.167  0.105
Al  0.667  0.334  0.675
Al  0.668  0.333  0.525
Al  0.667  0.334  0.825
Al  0.001  0.000  0.500
Al  0.001  0.000  0.000
Al  0.668  0.333  0.975
Al  0.833  0.665  0.105
Al  0.833  0.665  0.395
Al  0.833  0.167  0.105
Al  0.833  0.167  0.395
Al  0.168  0.833  0.895
Al  0.168  0.833  0.605
Al  0.168  0.335  0.895
Al  0.334  0.666  0.175
Al  0.334  0.666  0.325
Al  0.334  0.667  0.475
Al  0.334  0.667  0.025
Al  0.168  0.335  0.605
Al  0.666  0.833  0.605
Al  0.666  0.833  0.895
Tl  0.667  0.333  0.250
Tl  0.334  0.667  0.750
O  0.315  0.157  0.549
O  0.315  0.157  0.951
O  0.502  0.498  0.356
O  0.502  0.498  0.144
O  0.667  0.334  0.750
O  0.844  0.686  0.951
O  0.667  0.333  0.445
O  0.001  0.000  0.639
O  0.001  0.000  0.861
O  0.001  0.000  0.139
O  0.001  0.000  0.361
O  0.667  0.333  0.055
O  0.502  0.002  0.356
O  0.844  0.686  0.549
O  0.502  0.002  0.144
O  0.158  0.843  0.049
O  0.158  0.843  0.451
O  0.998  0.498  0.356
O  0.998  0.498  0.144
O  0.004  0.502  0.644
O  0.004  0.502  0.856
O  0.844  0.157  0.549
O  0.844  0.157  0.951
O  0.500  0.998  0.856
O  0.334  0.666  0.250
O  0.334  0.667  0.945
O  0.500  0.998  0.644
O  0.158  0.314  0.451
O  0.158  0.314  0.049
O  0.334  0.667  0.555
O  0.499  0.502  0.644
O  0.499  0.502  0.856
O  0.687  0.843  0.049
O  0.687  0.843  0.451